[1]
{
  "formula": "Li2CaTeCl",
  "functional": "PBE",
  "state": "relaxed",
  "sg": "P4/mmm, No. 123",
  "formation_energy_uncorrected_kj_per_mol_atoms": -63.9,
  "lattice": [[4.841, 0.000, 0.000], [0.000, 4.841, 0.000], [0.000, 0.000, 8.419]],
  "species": ["Li", "Li", "Ca", "Te", "Cl"],
  "fractional_positions": [[0.000, 0.500, 0.000], [0.500, 0.000, 0.000], [0.000, 0.000, 0.500], [0.500, 0.500, 0.000], [0.500, 0.500, 0.500]]
}

=====

[2]
{
  "formula": "Eu2OsN",
  "functional": "PBE",
  "state": "relaxed",
  "sg": "R-3m, No. 166",
  "formation_energy_uncorrected_kj_per_mol_atoms": 31.5,
  "lattice": [[1.643, 0.949, 8.495], [-1.643, 0.949, 8.495], [0.000, -1.897, 8.495]],
  "species": ["Eu", "Eu", "Os", "N"],
  "fractional_positions": [[0.109, 0.109, 0.109], [0.891, 0.891, 0.891], [0.000, 0.000, 0.000], [0.500, 0.500, 0.500]]
}